Computed, not measured: crystalline SrCdGa2Cu at its relaxed geometry at the PBE-GGA level of DFT.

a b c (Å): 4.8295 4.8295 5.0694
angles (deg): 90.00 90.00 90.00
Fractional coordinates of all 5 atoms:
Sr1 0.0000 0.0000 0.0000
Cd1 0.5000 0.5000 0.0000
Ga1 0.0000 0.5000 0.5000
Ga2 0.5000 0.0000 0.5000
Cu1 0.5000 0.5000 0.5000

Calculated values
**Calculated formation energy**: -0.123 eV per atom
**Theoretical density**: 5.7 Mg/m³
**V**: 23.65 A^3/atom
**Crystal system**: tetragonal
**Symmetry**: P4/mmm

Computed, not measured: crystalline RbBaSi2 at its relaxed geometry at the PBE-GGA level of DFT.

a b c (Å): 9.3138 9.3138 6.2406
angles (deg): 90.00 90.00 90.00
Fractional coordinates of all 16 atoms:
Rb1 0.0000 0.0000 0.0000
Rb2 0.0000 0.5000 0.2500
Rb3 0.5000 0.0000 0.7500
Rb4 0.5000 0.5000 0.5000
Ba1 0.0000 0.0000 0.5000
Ba2 0.0000 0.5000 0.7500
Ba3 0.5000 0.0000 0.2500
Ba4 0.5000 0.5000 0.0000
Si1 0.2410 0.2500 0.6250
Si2 0.2500 0.7410 0.8750
Si3 0.2500 0.7590 0.3750
Si4 0.2590 0.2500 0.1250
Si5 0.7410 0.7500 0.1250
Si6 0.7500 0.2410 0.3750
Si7 0.7500 0.2590 0.8750
Si8 0.7590 0.7500 0.6250

Calculated values
**Theoretical density**: 3.4 Mg/m³
**V**: 33.84 A^3/atom
**Crystal system**: tetragonal
**Symmetry**: I-42d
**Formation energy without anion corrections**: 0.65 eV/atom

Computed, not measured: crystalline Na2ZnSb3Pt4 at its relaxed geometry at the PBE-GGA level of DFT.

a b c (Å): 4.5793 4.5793 10.5476
angles (deg): 90.00 90.00 90.00
Fractional coordinates of all 10 atoms:
Na1 0.0000 0.5000 0.2474
Na2 0.5000 0.0000 0.7526
Zn1 0.0000 0.0000 0.5000
Sb1 0.0000 0.5000 0.8680
Sb2 0.5000 0.0000 0.1320
Sb3 0.5000 0.5000 0.5000
Pt1 0.0000 0.0000 0.0000
Pt2 0.0000 0.5000 0.6211
Pt3 0.5000 0.0000 0.3789
Pt4 0.5000 0.5000 0.0000

Calculated values
**Theoretical density**: 9.4 Mg/m³
**V**: 22.12 A^3/atom
**Crystal system**: tetragonal
**Symmetry**: P-4m2
**Formation energy without anion corrections**: -0.45 eV/atom

Computed, not measured: crystalline Nb3FeH4 at its relaxed geometry at the PBE-GGA level of DFT.

a b c (Å): 5.7189 5.5467 5.0037
angles (deg): 90.00 90.00 90.00
Fractional coordinates of all 16 atoms:
Nb1 0.0000 0.1339 0.0000
Nb2 0.2413 0.3510 0.5124
Nb3 0.2587 0.6490 0.0124
Nb4 0.5000 0.8661 0.5000
Nb5 0.7413 0.6490 0.0124
Nb6 0.7587 0.3510 0.5124
Fe1 0.0000 0.8315 0.5115
Fe2 0.5000 0.1685 0.0115
H1 0.0000 0.1195 0.6158
H2 0.0000 0.8268 0.1813
H3 0.2355 0.6856 0.6304
H4 0.2645 0.3144 0.1304
H5 0.5000 0.1732 0.6813
H6 0.5000 0.8805 0.1158
H7 0.7355 0.3144 0.1304
H8 0.7645 0.6856 0.6304

Calculated values
**Theoretical density**: 7.1 Mg/m³
**V**: 9.92 A^3/atom
**Crystal system**: orthorhombic
**Symmetry**: Pmn2_1

Computed, not measured: crystalline Nd2Tm7Th2 at its relaxed geometry at the PBE-GGA level of DFT.

a b c (Å): 8.0859 8.0859 5.9746
angles (deg): 106.58 106.58 91.15
Fractional coordinates of all 11 atoms:
Nd1 0.0952 0.0952 0.3094
Nd2 0.9048 0.9048 0.6906
Tm1 0.0908 0.5627 0.3269
Tm2 0.2677 0.2677 0.9204
Tm3 0.4373 0.9092 0.6731
Tm4 0.5000 0.5000 0.5000
Tm5 0.5627 0.0908 0.3269
Tm6 0.7323 0.7323 0.0796
Tm7 0.9092 0.4373 0.6731
Th1 0.2942 0.7058 0.0000
Th2 0.7058 0.2942 0.0000

Calculated values
**Calculated formation energy**: 0.178 eV per atom
**Theoretical density**: 9.0 Mg/m³
**V**: 32.42 A^3/atom
**Crystal system**: monoclinic
**Symmetry**: C2/m

Computed, not measured: crystalline KMgAs2 at its relaxed geometry at the PBE-GGA level of DFT.

a b c (Å): 6.4912 9.0595 3.1048
angles (deg): 90.00 90.00 90.00
Fractional coordinates of all 8 atoms:
K1 0.0000 0.0000 0.0000
K2 0.5000 0.5000 0.0000
Mg1 0.0000 0.5000 0.0000
Mg2 0.5000 0.0000 0.0000
As1 0.2500 0.2500 0.5000
As2 0.2500 0.7500 0.5000
As3 0.7500 0.2500 0.5000
As4 0.7500 0.7500 0.5000

Calculated values
**Calculated formation energy**: -0.060 eV per atom
**Theoretical density**: 3.9 Mg/m³
**V**: 22.82 A^3/atom
**Crystal system**: orthorhombic
**Symmetry**: Cmmm

Computed, not measured: crystalline Y2Si3GeIr4 at its relaxed geometry at the PBE-GGA level of DFT.

a b c (Å): 4.1601 4.1601 9.9190
angles (deg): 90.00 90.00 90.00
Fractional coordinates of all 10 atoms:
Y1 0.0000 0.5000 0.2473
Y2 0.5000 0.0000 0.7527
Si1 0.0000 0.0000 0.0000
Si2 0.0000 0.5000 0.6295
Si3 0.5000 0.0000 0.3705
Ge1 0.5000 0.5000 0.0000
Ir1 0.0000 0.0000 0.5000
Ir2 0.0000 0.5000 0.8674
Ir3 0.5000 0.0000 0.1326
Ir4 0.5000 0.5000 0.5000

Calculated values
**Theoretical density**: 10.7 Mg/m³
**V**: 17.17 A^3/atom
**Crystal system**: tetragonal
**Symmetry**: P-4m2
**Formation energy without anion corrections**: -0.99 eV/atom

Computed, not measured: crystalline Li2PuHgSb2 at its relaxed geometry at the PBE-GGA level of DFT.

a b c (Å): 4.8400 8.9779 6.3615
angles (deg): 90.00 90.00 90.00
Fractional coordinates of all 12 atoms:
Li1 0.0000 0.0006 0.0000
Li2 0.0000 0.9994 0.5000
Li3 0.5000 0.1530 0.7480
Li4 0.5000 0.8470 0.2480
Pu1 0.5000 0.4997 0.4991
Pu2 0.5000 0.5003 0.9991
Hg1 0.0000 0.3262 0.2483
Hg2 0.0000 0.6738 0.7483
Sb1 0.0000 0.3130 0.7490
Sb2 0.0000 0.6870 0.2490
Sb3 0.5000 0.1527 0.2508
Sb4 0.5000 0.8473 0.7508

Calculated values
**Theoretical density**: 8.4 Mg/m³
**V**: 23.04 A^3/atom
**Crystal system**: orthorhombic
**Symmetry**: Pmc2_1
**Formation energy without anion corrections**: -0.40 eV/atom

Computed, not measured: crystalline CrCuSnAu at its relaxed geometry at the PBE-GGA level of DFT.

a b c (Å): 6.4647 6.4647 6.4647
angles (deg): 90.00 90.00 90.00
Fractional coordinates of all 16 atoms:
Cr1 0.0000 0.0000 0.0000
Cr2 0.0000 0.5000 0.5000
Cr3 0.5000 0.0000 0.5000
Cr4 0.5000 0.5000 0.0000
Cu1 0.0000 0.0000 0.5000
Cu2 0.0000 0.5000 0.0000
Cu3 0.5000 0.0000 0.0000
Cu4 0.5000 0.5000 0.5000
Sn1 0.2500 0.2500 0.7500
Sn2 0.2500 0.7500 0.2500
Sn3 0.7500 0.2500 0.2500
Sn4 0.7500 0.7500 0.7500
Au1 0.2500 0.2500 0.2500
Au2 0.2500 0.7500 0.7500
Au3 0.7500 0.2500 0.7500
Au4 0.7500 0.7500 0.2500

Calculated values
**Calculated formation energy**: 0.119 eV per atom
**Theoretical density**: 10.6 Mg/m³
**V**: 16.89 A^3/atom
**Crystal system**: cubic
**Symmetry**: F-43m

Computed, not measured: crystalline LaTb2Dy4 at its relaxed geometry at the PBE-GGA level of DFT.

a b c (Å): 7.0901 8.6339 8.8616
angles (deg): 114.49 101.42 101.83
Fractional coordinates of all 14 atoms:
La1 0.0000 0.0000 0.0000
La2 0.3014 0.6664 0.5457
Tb1 0.2083 0.1243 0.7048
Tb2 0.5252 0.8236 0.2709
Tb3 0.8013 0.6667 0.5381
Tb4 0.8807 0.4021 0.1322
Dy1 0.0253 0.8256 0.2773
Dy2 0.1060 0.5540 0.8713
Dy3 0.3870 0.4027 0.1354
Dy4 0.4135 0.2287 0.4131
Dy5 0.5001 0.0002 0.9995
Dy6 0.6074 0.5540 0.8685
Dy7 0.7041 0.1173 0.7019
Dy8 0.9086 0.2316 0.4145

Calculated values
**Calculated formation energy**: 0.041 eV per atom
**Theoretical density**: 8.0 Mg/m³
**V**: 32.73 A^3/atom
**Crystal system**: triclinic
**Symmetry**: P1

Computed, not measured: crystalline CaIr2Ru at its relaxed geometry at the PBE-GGA level of DFT.

a b c (Å): 2.7973 4.6306 5.3213
angles (deg): 90.00 102.37 90.00
Fractional coordinates of all 4 atoms:
Ca1 0.0000 0.0000 0.0000
Ir1 0.3424 0.5000 0.7188
Ir2 0.6576 0.5000 0.2812
Ru1 0.5000 0.0000 0.5000

Calculated values
**Calculated formation energy**: 0.248 eV per atom
**Theoretical density**: 13.0 Mg/m³
**V**: 16.83 A^3/atom
**Crystal system**: monoclinic
**Symmetry**: P2/m

Computed, not measured: crystalline Mg2AlRh at its relaxed geometry at the PBE-GGA level of DFT.

a b c (Å): 3.9625 3.9625 4.1899
angles (deg): 90.00 90.00 90.00
Fractional coordinates of all 4 atoms:
Mg1 0.0000 0.5000 0.0000
Mg2 0.5000 0.0000 0.0000
Al1 0.0000 0.0000 0.5000
Rh1 0.5000 0.5000 0.5000

Calculated values
**Calculated formation energy**: -0.364 eV per atom
**Theoretical density**: 4.5 Mg/m³
**V**: 16.45 A^3/atom
**Crystal system**: tetragonal
**Symmetry**: P4/mmm

Computed, not measured: crystalline LaHgBr2 at its relaxed geometry at the PBE-GGA level of DFT.

a b c (Å): 4.5494 4.5494 10.8596
angles (deg): 90.00 90.00 90.00
Fractional coordinates of all 8 atoms:
La1 0.0000 0.0000 0.0000
La2 0.5000 0.5000 0.5000
Hg1 0.0000 0.5000 0.2500
Hg2 0.5000 0.0000 0.7500
Br1 0.0000 0.0000 0.5000
Br2 0.0000 0.5000 0.7500
Br3 0.5000 0.0000 0.2500
Br4 0.5000 0.5000 0.0000

Calculated values
**Theoretical density**: 7.4 Mg/m³
**V**: 28.10 A^3/atom
**Crystal system**: tetragonal
**Symmetry**: I-4m2
**Formation energy without anion corrections**: -1.05 eV/atom

Computed, not measured: crystalline ScTc2PtI at its relaxed geometry at the PBE-GGA level of DFT.

a b c (Å): 4.7399 4.7399 5.2675
angles (deg): 90.00 90.00 90.00
Fractional coordinates of all 5 atoms:
Sc1 0.0000 0.0000 0.0000
Tc1 0.0000 0.5000 0.0000
Tc2 0.5000 0.0000 0.0000
Pt1 0.5000 0.5000 0.5000
I1 0.0000 0.0000 0.5000

Calculated values
**Theoretical density**: 7.9 Mg/m³
**V**: 23.67 A^3/atom
**Crystal system**: tetragonal
**Symmetry**: P4/mmm
**Formation energy without anion corrections**: 1.75 eV/atom

Computed, not measured: crystalline CsGe2Ir at its relaxed geometry at the PBE-GGA level of DFT.

a b c (Å): 7.0280 7.0280 7.0280
angles (deg): 90.00 90.00 90.00
Fractional coordinates of all 16 atoms:
Cs1 0.0000 0.0000 0.0000
Cs2 0.0000 0.5000 0.5000
Cs3 0.5000 0.0000 0.5000
Cs4 0.5000 0.5000 0.0000
Ge1 0.2500 0.2500 0.2500
Ge2 0.2500 0.2500 0.7500
Ge3 0.2500 0.7500 0.2500
Ge4 0.2500 0.7500 0.7500
Ge5 0.7500 0.2500 0.2500
Ge6 0.7500 0.2500 0.7500
Ge7 0.7500 0.7500 0.2500
Ge8 0.7500 0.7500 0.7500
Ir1 0.0000 0.0000 0.5000
Ir2 0.0000 0.5000 0.0000
Ir3 0.5000 0.0000 0.0000
Ir4 0.5000 0.5000 0.5000

Calculated values
**Calculated formation energy**: 0.826 eV per atom
**Theoretical density**: 9.0 Mg/m³
**V**: 21.70 A^3/atom
**Crystal system**: cubic
**Symmetry**: Fm-3m

Computed, not measured: crystalline Cu2AgS at its relaxed geometry at the PBE-GGA level of DFT.

a b c (Å): 4.4963 4.4963 14.4479
angles (deg): 90.00 90.00 90.00
Fractional coordinates of all 16 atoms:
Cu1 0.1372 0.2500 0.1250
Cu2 0.2500 0.6372 0.3750
Cu3 0.2500 0.8628 0.8750
Cu4 0.3628 0.2500 0.6250
Cu5 0.6372 0.7500 0.6250
Cu6 0.7500 0.1372 0.8750
Cu7 0.7500 0.3628 0.3750
Cu8 0.8628 0.7500 0.1250
Ag1 0.0000 0.0000 0.5000
Ag2 0.0000 0.5000 0.7500
Ag3 0.5000 0.0000 0.2500
Ag4 0.5000 0.5000 0.0000
S1 0.0000 0.0000 0.0000
S2 0.0000 0.5000 0.2500
S3 0.5000 0.0000 0.7500
S4 0.5000 0.5000 0.5000

Calculated values
**Theoretical density**: 6.1 Mg/m³
**V**: 18.26 A^3/atom
**Crystal system**: tetragonal
**Symmetry**: I-42d
**Formation energy without anion corrections**: 0.23 eV/atom

Computed, not measured: crystalline Tb2Pm4SmTh at its relaxed geometry at the PBE-GGA level of DFT.

a b c (Å): 5.1079 5.1114 10.2563
angles (deg): 90.00 90.00 90.00
Fractional coordinates of all 8 atoms:
Tb1 0.0000 0.0000 0.0000
Tb2 0.5000 0.5000 0.5000
Pm1 0.0000 0.5000 0.2470
Pm2 0.0000 0.5000 0.7530
Pm3 0.5000 0.0000 0.2461
Pm4 0.5000 0.0000 0.7539
Sm1 0.0000 0.0000 0.5000
Th1 0.5000 0.5000 0.0000

Calculated values
**Calculated formation energy**: 0.034 eV per atom
**Theoretical density**: 7.9 Mg/m³
**V**: 33.47 A^3/atom
**Crystal system**: orthorhombic
**Symmetry**: Pmmm

Computed, not measured: crystalline MnZnSb2 at its relaxed geometry at the PBE-GGA level of DFT.

a b c (Å): 4.0060 5.0992 8.3887
angles (deg): 90.00 90.00 90.00
Fractional coordinates of all 8 atoms:
Mn1 0.0000 0.0000 0.0000
Mn2 0.5000 0.5000 0.0000
Zn1 0.0000 0.0000 0.5000
Zn2 0.5000 0.5000 0.5000
Sb1 0.0000 0.5000 0.2217
Sb2 0.0000 0.5000 0.7783
Sb3 0.5000 0.0000 0.2217
Sb4 0.5000 0.0000 0.7783

Calculated values
**Theoretical density**: 7.1 Mg/m³
**V**: 21.42 A^3/atom
**Crystal system**: orthorhombic
**Symmetry**: Cmmm
**Formation energy without anion corrections**: 0.23 eV/atom

Computed, not measured: crystalline LuNpO3 at its relaxed geometry at the PBE-GGA level of DFT.

a b c (Å): 4.1993 4.1993 4.1993
angles (deg): 90.00 90.00 90.00
Fractional coordinates of all 5 atoms:
Lu1 0.0000 0.0000 0.0000
Np1 0.5000 0.5000 0.5000
O1 0.0000 0.0000 0.5000
O2 0.0000 0.5000 0.0000
O3 0.5000 0.0000 0.0000

Calculated values
**Theoretical density**: 10.3 Mg/m³
**V**: 14.81 A^3/atom
**Crystal system**: cubic
**Symmetry**: Pm-3m
**Formation energy without anion corrections**: -2.64 eV/atom

Computed, not measured: crystalline FeNiIr2N at its relaxed geometry at the PBE-GGA level of DFT.

a b c (Å): 4.0191 4.0191 3.8414
angles (deg): 90.00 90.00 90.00
Fractional coordinates of all 5 atoms:
Fe1 0.0000 0.0000 0.0000
Ni1 0.5000 0.5000 0.0000
Ir1 0.0000 0.5000 0.5000
Ir2 0.5000 0.0000 0.5000
N1 0.0000 0.0000 0.5000

Calculated values
**Theoretical density**: 13.7 Mg/m³
**V**: 12.41 A^3/atom
**Crystal system**: tetragonal
**Symmetry**: P4/mmm
**Formation energy without anion corrections**: 0.37 eV/atom

Number 1: VASP energy -2.672 eV/atom. Number 2: VASP energy -2.788 eV/atom. Number 3: VASP energy -4.493 eV/atom. Number 4: VASP energy -6.533 eV/atom. Number 5: VASP energy -4.883 eV/atom. Number 6: VASP energy -3.057 eV/atom. Number 7: VASP energy -7.915 eV/atom. Number 8: VASP energy -4.855 eV/atom. Number 9: VASP energy -5.131 eV/atom. Number 10: VASP energy -4.615 eV/atom. Number 11: VASP energy -7.002 eV/atom. Number 12: VASP energy -3.934 eV/atom. Number 13: VASP energy -3.197 eV/atom. Number 14: VASP energy -5.177 eV/atom. Number 15: VASP energy -3.911 eV/atom. Number 16: VASP energy -3.564 eV/atom. Number 17: VASP energy -5.017 eV/atom. Number 18: VASP energy -4.444 eV/atom. Number 19: VASP energy -9.110 eV/atom. Number 20: VASP energy -7.683 eV/atom.